(1)
## Tb9HoTl2 (PBE)

Data for a relaxed structure of Tb9HoTl2.

Values from the calculation:
The space group is P4/mmm, No. 123. The value obtained for the density is 9.3 Mg/m³. Its energy of formation from the pure elements is -0.11 eV/atom.

Cell: 4.885 4.885 15.018 Å, 90.00 90.00 90.00°
Fractional positions:
Tl  0.000  0.000  0.660
Tb  0.000  0.500  0.829
Tb  0.500  0.000  0.829
Tb  0.500  0.500  0.336
Tb  0.500  0.500  0.664
Tl  0.000  0.000  0.340
Tb  0.000  0.500  0.500
Tb  0.500  0.500  0.000
Ho  0.000  0.000  0.000
Tb  0.000  0.500  0.171
Tb  0.500  0.000  0.500
Tb  0.500  0.000  0.171



(2)
## Tb4HoTl (PBE)

Data for a relaxed structure of Tb4HoTl.

Values from the calculation:
The space group is C2/c, No. 15. The offset from the most stable computed form is 8.4 kJ per mole of atoms. The value obtained for the density is 8.9 Mg/m³. Its energy of formation from the pure elements is -0.02 eV/atom.

Cell: 6.463 9.002 8.282 Å, 112.66 99.77 113.93°
Fractional positions:
Tb  0.042  0.162  0.751
Tb  0.245  0.286  0.381
Tb  0.365  0.906  0.619
Ho  0.339  0.589  0.179
Tb  0.635  0.094  0.381
Tb  0.209  0.589  0.751
Tb  0.958  0.838  0.249
Tl  0.750  0.000  0.000
Tb  0.755  0.714  0.619
Ho  0.661  0.411  0.821
Tb  0.791  0.411  0.249
Tl  0.250  0.000  0.000



(3)
## Tb5HoTl6 (PBE)

Data for a relaxed structure of Tb5HoTl6.

Values from the calculation:
The space group is Immm, No. 71. The value obtained for the density is 11.0 Mg/m³. Its energy of formation from the pure elements is -0.34 eV/atom.

Cell: 5.099 9.890 9.073 Å, 56.98 73.70 59.00°
Fractional positions:
Tb  0.000  0.666  0.667
Tl  0.249  0.917  0.668
Tl  0.751  0.416  0.668
Tb  0.500  0.167  0.666
Tb  0.500  0.500  0.000
Tb  0.500  0.833  0.334
Tl  0.251  0.249  0.000
Ho  0.000  0.000  0.000
Tl  0.249  0.584  0.332
Tl  0.751  0.083  0.332
Tl  0.749  0.751  0.000
Tb  0.000  0.334  0.333



(4)
## TbHo5Tl8 (PBE)

Data for a relaxed structure of TbHo5Tl8.

Values from the calculation:
The space group is I-4, No. 82. The value obtained for the density is 11.0 Mg/m³. Its energy of formation from the pure elements is -0.22 eV/atom.

Cell: 8.013 8.013 8.013 Å, 109.63 109.15 109.63°
Fractional positions:
Tl  0.625  0.916  0.876
Tl  0.291  0.250  0.375
Tb  0.250  0.500  0.750
Ho  0.875  0.879  0.249
Tl  0.959  0.084  0.709
Tl  0.786  0.252  0.372
Ho  0.370  0.121  0.996
Ho  0.751  0.626  0.630
Tl  0.466  0.586  0.214
Tl  0.121  0.748  0.534
Ho  0.500  0.000  0.500
Tl  0.124  0.750  0.041
Tl  0.628  0.414  0.879
Ho  0.004  0.374  0.125



(5)
## Tb5HoTl8 (PBE)

Data for a relaxed structure of Tb5HoTl8.

Values from the calculation:
The space group is I-4, No. 82. The value obtained for the density is 10.7 Mg/m³. Its energy of formation from the pure elements is -0.24 eV/atom.

Cell: 8.048 8.048 8.048 Å, 109.33 109.75 109.33°
Fractional positions:
Ho  0.250  0.500  0.750
Tb  0.500  0.000  0.500
Tb  0.752  0.629  0.628
Tl  0.292  0.254  0.379
Tl  0.125  0.748  0.538
Tl  0.621  0.913  0.875
Tb  0.999  0.371  0.123
Tb  0.877  0.876  0.248
Tb  0.372  0.124  0.001
Tl  0.962  0.087  0.708
Tl  0.622  0.413  0.875
Tl  0.462  0.587  0.210
Tl  0.125  0.746  0.038
Tl  0.790  0.252  0.378



(6)
## Tb6Ho3Tl (PBE)

Data for a relaxed structure of Tb6Ho3Tl.

Values from the calculation:
The space group is P2_1/m, No. 11. The offset from the most stable computed form is 0.0 kJ per mole of atoms. The value obtained for the density is 8.8 Mg/m³. Its energy of formation from the pure elements is 0.01 eV/atom.

Cell: 3.499 12.715 14.229 Å, 100.41 90.00 90.00°
Fractional positions:
Tb  0.750  0.808  0.074
Tb  0.750  0.342  0.117
Tb  0.250  0.248  0.694
Ho  0.750  0.422  0.904
Ho  0.250  0.926  0.897
Tb  0.750  0.489  0.691
Tb  0.250  0.658  0.883
Tb  0.250  0.228  0.286
Ho  0.750  0.629  0.502
Tb  0.750  0.752  0.306
Tb  0.250  0.511  0.309
Tb  0.750  0.115  0.468
Ho  0.250  0.371  0.498
Tb  0.250  0.885  0.532
Ho  0.250  0.578  0.096
Tb  0.750  0.772  0.714
Tl  0.250  0.968  0.277
Tl  0.750  0.032  0.723
Ho  0.750  0.074  0.103
Tb  0.250  0.192  0.926